1.
# MnTlGe2Se6 | the Alexandria database | PBE | relaxed
# Raw formation energy: -217 meV per atom
# Energy: -4.39 eV/atom
data_MnTlGe2Se6
_cell_length_a 14.049
_cell_length_b 12.597
_cell_length_c 7.307
_cell_angle_alpha 90.00
_cell_angle_beta 113.79
_cell_angle_gamma 90.00
_space_group_name_H-M_alt 'C 1 2/c 1'
_space_group_IT_number 15
loop_
_space_group_symop_operation_xyz
'x,y,z'
'-x,-y,-z'
'-x,y,-z+1/2'
'x,-y,z+1/2'
'x+1/2,y+1/2,z'
'-x+1/2,-y+1/2,-z'
'-x+1/2,y+1/2,-z+1/2'
'x+1/2,-y+1/2,z+1/2'
loop_
_atom_site_label
_atom_site_type_symbol
_atom_site_fract_x
_atom_site_fract_y
_atom_site_fract_z
Mn1 Mn 0.000 0.203 0.250
Tl1 Tl 0.000 0.175 0.750
Ge1 Ge 0.212 0.425 0.679
Se1 Se 0.102 0.061 0.168
Se2 Se 0.136 0.439 0.925
Se3 Se 0.151 0.248 0.564

2.
# MnTlGeSe4 | the Alexandria database | PBE | relaxed
# Raw formation energy: -266 meV per atom
# Energy: -4.57 eV/atom
data_MnTlGeSe4
_cell_length_a 8.707
_cell_length_b 12.741
_cell_length_c 7.751
_cell_angle_alpha 90.00
_cell_angle_beta 90.00
_cell_angle_gamma 90.00
_space_group_name_H-M_alt 'C m c m'
_space_group_IT_number 63
_space_group_name_Hall '-C 2c 2'
loop_
_atom_site_label
_atom_site_type_symbol
_atom_site_fract_x
_atom_site_fract_y
_atom_site_fract_z
Mn1 Mn 0.000 0.127 0.250
Tl1 Tl 0.000 0.500 0.000
Ge1 Ge 0.000 0.135 0.750
Se1 Se 0.000 0.245 0.501
Se2 Se 0.202 0.004 0.750

3.
# MnSiGe3 | the Alexandria database | PBE | relaxed
# Raw formation energy: 1280 meV per atom
# ΔE to the lowest computed polymorph: 770 meV per atom
# Energy: -4.41 eV/atom
data_MnSiGe3
_cell_length_a 4.694
_cell_length_b 4.694
_cell_length_c 4.694
_cell_angle_alpha 90.00
_cell_angle_beta 90.00
_cell_angle_gamma 90.00
_space_group_name_H-M_alt 'P m -3 m'
_space_group_IT_number 221
_space_group_name_Hall '-P 4 2 3'
loop_
_atom_site_label
_atom_site_type_symbol
_atom_site_fract_x
_atom_site_fract_y
_atom_site_fract_z
Mn1 Mn 0.000 0.000 0.000
Si1 Si 0.500 0.500 0.500
Ge1 Ge 0.000 0.500 0.500

4.
# Mn2SiGe | the Alexandria database | PBE | relaxed
# Raw formation energy: -79 meV per atom
# ΔE to the lowest computed polymorph: 15 meV per atom
# Energy: -7.17 eV/atom
data_Mn2SiGe
_cell_length_a 5.742
_cell_length_b 5.742
_cell_length_c 5.742
_cell_angle_alpha 90.00
_cell_angle_beta 90.00
_cell_angle_gamma 90.00
_space_group_name_H-M_alt 'F m -3 m'
_space_group_IT_number 225
_space_group_name_Hall '-F 4 2 3'
loop_
_atom_site_label
_atom_site_type_symbol
_atom_site_fract_x
_atom_site_fract_y
_atom_site_fract_z
Mn1 Mn 0.250 0.250 0.250
Si1 Si 0.000 0.000 0.000
Ge1 Ge 0.000 0.000 0.500

5.
# Mn2Si2Ge | the Alexandria database | PBE | relaxed
# Raw formation energy: -29 meV per atom
# ΔE to the lowest computed polymorph: 0 meV per atom
# Energy: -6.79 eV/atom
data_Mn2Si2Ge
_cell_length_a 6.514
_cell_length_b 6.514
_cell_length_c 3.004
_cell_angle_alpha 90.00
_cell_angle_beta 90.00
_cell_angle_gamma 90.00
_space_group_name_H-M_alt 'P 4/m b m'
_space_group_IT_number 127
_space_group_name_Hall '-P 4 2ab'
loop_
_atom_site_label
_atom_site_type_symbol
_atom_site_fract_x
_atom_site_fract_y
_atom_site_fract_z
Mn1 Mn 0.156 0.344 0.000
Si1 Si 0.138 0.638 0.500
Ge1 Ge 0.000 0.000 0.000

6.
# Mn2SiGe | the Alexandria database | PBE | relaxed
# Raw formation energy: -94 meV per atom
# ΔE to the lowest computed polymorph: 0 meV per atom
# Energy: -7.19 eV/atom
data_Mn2SiGe
_cell_length_a 2.868
_cell_length_b 2.868
_cell_length_c 5.776
_cell_angle_alpha 90.00
_cell_angle_beta 90.00
_cell_angle_gamma 90.00
_space_group_name_H-M_alt 'P 4/m m m'
_space_group_IT_number 123
_space_group_name_Hall '-P 4 2'
loop_
_atom_site_label
_atom_site_type_symbol
_atom_site_fract_x
_atom_site_fract_y
_atom_site_fract_z
Mn1 Mn 0.000 0.000 0.239
Si1 Si 0.500 0.500 0.000
Ge1 Ge 0.500 0.500 0.500

7.
# Mn2Si2Ge | the Alexandria database | PBE | relaxed
# Raw formation energy: 14 meV per atom
# ΔE to the lowest computed polymorph: 44 meV per atom
# Energy: -6.75 eV/atom
data_Mn2Si2Ge
_cell_length_a 7.184
_cell_length_b 7.184
_cell_length_c 2.603
_cell_angle_alpha 90.00
_cell_angle_beta 90.00
_cell_angle_gamma 90.00
_space_group_name_H-M_alt 'P 4/m b m'
_space_group_IT_number 127
_space_group_name_Hall '-P 4 2ab'
loop_
_atom_site_label
_atom_site_type_symbol
_atom_site_fract_x
_atom_site_fract_y
_atom_site_fract_z
Mn1 Mn 0.153 0.347 0.000
Si1 Si 0.138 0.638 0.500
Ge1 Ge 0.000 0.000 0.500

8.
# MnSiGe3 | the Alexandria database | PBE | relaxed
# Raw formation energy: 510 meV per atom
# ΔE to the lowest computed polymorph: 0 meV per atom
# Energy: -5.18 eV/atom
data_MnSiGe3
_cell_length_a 4.615
_cell_length_b 4.615
_cell_length_c 4.615
_cell_angle_alpha 90.00
_cell_angle_beta 90.00
_cell_angle_gamma 90.00
_space_group_name_H-M_alt 'P m -3 m'
_space_group_IT_number 221
_space_group_name_Hall '-P 4 2 3'
loop_
_atom_site_label
_atom_site_type_symbol
_atom_site_fract_x
_atom_site_fract_y
_atom_site_fract_z
Mn1 Mn 0.000 0.000 0.000
Si1 Si 0.500 0.500 0.500
Ge1 Ge 0.000 0.000 0.500

9.
# MnSiGe | the Alexandria database | PBE | relaxed
# Raw formation energy: -189 meV per atom
# Energy: -6.59 eV/atom
data_MnSiGe
_cell_length_a 3.391
_cell_length_b 3.391
_cell_length_c 7.048
_cell_angle_alpha 90.00
_cell_angle_beta 90.00
_cell_angle_gamma 90.00
_space_group_name_H-M_alt 'P 4/n m m'
_space_group_IT_number 129
loop_
_space_group_symop_operation_xyz
'x,y,z'
'-x,-y,-z'
'-y+1/2,x,z'
'y+1/2,-x,-z'
'-x+1/2,-y+1/2,z'
'x+1/2,y+1/2,-z'
'y,-x+1/2,z'
'-y,x+1/2,-z'
'x+1/2,-y,-z'
'-x+1/2,y,z'
'-y,-x,-z'
'y,x,z'
'-x,y+1/2,-z'
'x,-y+1/2,z'
'y+1/2,x+1/2,-z'
'-y+1/2,-x+1/2,z'
loop_
_atom_site_label
_atom_site_type_symbol
_atom_site_fract_x
_atom_site_fract_y
_atom_site_fract_z
Mn1 Mn 0.250 0.250 0.240
Si1 Si 0.250 0.750 0.000
Ge1 Ge 0.250 0.250 0.613

10.
# MnSi3Ge | the Alexandria database | PBE | relaxed
# Raw formation energy: 463 meV per atom
# ΔE to the lowest computed polymorph: 0 meV per atom
# Energy: -5.55 eV/atom
data_MnSi3Ge
_cell_length_a 4.458
_cell_length_b 4.458
_cell_length_c 4.458
_cell_angle_alpha 90.00
_cell_angle_beta 90.00
_cell_angle_gamma 90.00
_space_group_name_H-M_alt 'P m -3 m'
_space_group_IT_number 221
_space_group_name_Hall '-P 4 2 3'
loop_
_atom_site_label
_atom_site_type_symbol
_atom_site_fract_x
_atom_site_fract_y
_atom_site_fract_z
Mn1 Mn 0.000 0.000 0.000
Si1 Si 0.000 0.000 0.500
Ge1 Ge 0.500 0.500 0.500

11.
# MnSiTcGe | the Alexandria database | PBE | relaxed
# Raw formation energy: -122 meV per atom
# Energy: -7.52 eV/atom
data_MnSiTcGe
_cell_length_a 5.941
_cell_length_b 5.941
_cell_length_c 5.941
_cell_angle_alpha 90.00
_cell_angle_beta 90.00
_cell_angle_gamma 90.00
_space_group_name_H-M_alt 'F -4 3 m'
_space_group_IT_number 216
_space_group_name_Hall 'F -4 2 3'
loop_
_atom_site_label
_atom_site_type_symbol
_atom_site_fract_x
_atom_site_fract_y
_atom_site_fract_z
Mn1 Mn 0.000 0.000 0.000
Si1 Si 0.250 0.250 0.750
Tc1 Tc 0.000 0.000 0.500
Ge1 Ge 0.250 0.250 0.250

12.
# TiMnSiGe2 | the Alexandria database | PBE | relaxed
# Raw formation energy: 882 meV per atom
# Energy: -5.46 eV/atom
data_TiMnSiGe2
_cell_length_a 4.900
_cell_length_b 4.900
_cell_length_c 4.428
_cell_angle_alpha 90.00
_cell_angle_beta 90.00
_cell_angle_gamma 90.00
_space_group_name_H-M_alt 'P 4/m m m'
_space_group_IT_number 123
_space_group_name_Hall '-P 4 2'
loop_
_atom_site_label
_atom_site_type_symbol
_atom_site_fract_x
_atom_site_fract_y
_atom_site_fract_z
Ti1 Ti 0.000 0.000 0.000
Mn1 Mn 0.000 0.000 0.500
Si1 Si 0.500 0.500 0.500
Ge1 Ge 0.000 0.500 0.000

13.
# MnTl2SiGe | the Alexandria database | PBE | relaxed
# Raw formation energy: 1463 meV per atom
# Energy: -3.33 eV/atom
data_MnTl2SiGe
_cell_length_a 5.409
_cell_length_b 5.409
_cell_length_c 4.781
_cell_angle_alpha 90.00
_cell_angle_beta 90.00
_cell_angle_gamma 90.00
_space_group_name_H-M_alt 'P 4/m m m'
_space_group_IT_number 123
_space_group_name_Hall '-P 4 2'
loop_
_atom_site_label
_atom_site_type_symbol
_atom_site_fract_x
_atom_site_fract_y
_atom_site_fract_z
Mn1 Mn 0.000 0.000 0.000
Tl1 Tl 0.000 0.500 0.500
Si1 Si 0.500 0.500 0.000
Ge1 Ge 0.500 0.500 0.500

14.
# MnSiGe2W | the Alexandria database | PBE | relaxed
# Raw formation energy: 1116 meV per atom
# Energy: -6.24 eV/atom
data_MnSiGe2W
_cell_length_a 4.758
_cell_length_b 4.758
_cell_length_c 4.763
_cell_angle_alpha 90.00
_cell_angle_beta 90.00
_cell_angle_gamma 90.00
_space_group_name_H-M_alt 'P 4/m m m'
_space_group_IT_number 123
_space_group_name_Hall '-P 4 2'
loop_
_atom_site_label
_atom_site_type_symbol
_atom_site_fract_x
_atom_site_fract_y
_atom_site_fract_z
Mn1 Mn 0.000 0.000 0.000
Si1 Si 0.500 0.500 0.000
Ge1 Ge 0.000 0.500 0.500
W1 W 0.000 0.000 0.500

15.
# YMn2SiGe | the Alexandria database | PBE | relaxed
# Raw formation energy: -555 meV per atom
# Energy: -7.52 eV/atom
data_YMn2SiGe
_cell_length_a 3.913
_cell_length_b 3.913
_cell_length_c 10.600
_cell_angle_alpha 90.00
_cell_angle_beta 90.00
_cell_angle_gamma 90.00
_space_group_name_H-M_alt 'I 4 m m'
_space_group_IT_number 107
_space_group_name_Hall 'I 4 -2'
loop_
_atom_site_label
_atom_site_type_symbol
_atom_site_fract_x
_atom_site_fract_y
_atom_site_fract_z
Y1 Y 0.000 0.000 0.000
Mn1 Mn 0.000 0.500 0.243
Si1 Si 0.000 0.000 0.619
Ge1 Ge 0.000 0.000 0.380

16.
# SmMnGe2 | the Alexandria database | PBE | relaxed
# Energy: -6.24 eV/atom
# ΔE_f: -10.6 kcal/mol of atoms
data_SmMnGe2
_cell_length_a 4.400
_cell_length_b 16.204
_cell_length_c 4.438
_cell_angle_alpha 90.00
_cell_angle_beta 90.00
_cell_angle_gamma 90.00
_space_group_name_H-M_alt 'C m c m'
_space_group_IT_number 63
_space_group_name_Hall '-C 2c 2'
loop_
_atom_site_label
_atom_site_type_symbol
_atom_site_fract_x
_atom_site_fract_y
_atom_site_fract_z
Sm1 Sm 0.000 0.106 0.250
Mn1 Mn 0.000 0.309 0.250
Ge1 Ge 0.000 0.253 0.750
Ge2 Ge 0.000 0.455 0.250

17.
# SmMn3Ge3 | the Alexandria database | PBE | relaxed
# ΔE to the lowest computed polymorph: 0 meV per atom
# Energy: -6.34 eV/atom
# ΔE_f: 5.6 kcal/mol of atoms
data_SmMn3Ge3
_cell_length_a 6.672
_cell_length_b 6.672
_cell_length_c 6.672
_cell_angle_alpha 90.00
_cell_angle_beta 90.00
_cell_angle_gamma 90.00
_space_group_name_H-M_alt 'P m -3 n'
_space_group_IT_number 223
_space_group_name_Hall '-P 4n 2 3'
loop_
_atom_site_label
_atom_site_type_symbol
_atom_site_fract_x
_atom_site_fract_y
_atom_site_fract_z
Sm1 Sm 0.000 0.000 0.000
Mn1 Mn 0.000 0.250 0.500
Ge1 Ge 0.000 0.500 0.250

18.
# SmMn3Ge3 | the Alexandria database | PBE | relaxed
# ΔE to the lowest computed polymorph: 565 meV per atom
# Energy: -5.77 eV/atom
# ΔE_f: 18.7 kcal/mol of atoms
data_SmMn3Ge3
_cell_length_a 11.221
_cell_length_b 11.221
_cell_length_c 11.221
_cell_angle_alpha 90.00
_cell_angle_beta 90.00
_cell_angle_gamma 90.00
_space_group_name_H-M_alt 'F m -3 m'
_space_group_IT_number 225
_space_group_name_Hall '-F 4 2 3'
loop_
_atom_site_label
_atom_site_type_symbol
_atom_site_fract_x
_atom_site_fract_y
_atom_site_fract_z
Sm1 Sm 0.250 0.250 0.250
Mn1 Mn 0.000 0.000 0.139
Ge1 Ge 0.000 0.000 0.338

19.
# SmMnGe | the Alexandria database | PBE | relaxed
# Energy: -6.55 eV/atom
# ΔE_f: -8.8 kcal/mol of atoms
data_SmMnGe
_cell_length_a 4.3548
_cell_length_b 4.3548
_cell_length_c 3.9304
_cell_angle_alpha 90.00
_cell_angle_beta 90.00
_cell_angle_gamma 120.00
_space_group_name_H-M_alt 'P -6 m 2'
_space_group_IT_number 187
_space_group_name_Hall 'P -6 2'
loop_
_atom_site_label
_atom_site_type_symbol
_atom_site_fract_x
_atom_site_fract_y
_atom_site_fract_z
Sm1 Sm 0.0000 0.0000 0.0000
Mn1 Mn 0.3333 0.6667 0.5000
Ge1 Ge 0.6667 0.3333 0.5000

20.
# Sm2Mn3Ge4 | the Alexandria database | PBE | relaxed
# Energy: -6.58 eV/atom
# ΔE_f: -9.8 kcal/mol of atoms
data_Sm2Mn3Ge4
_cell_length_a 5.731
_cell_length_b 15.171
_cell_length_c 7.548
_cell_angle_alpha 90.00
_cell_angle_beta 90.00
_cell_angle_gamma 90.00
_space_group_name_H-M_alt 'C m c e'
_space_group_IT_number 64
_space_group_name_Hall '-C 2ac 2'
loop_
_atom_site_label
_atom_site_type_symbol
_atom_site_fract_x
_atom_site_fract_y
_atom_site_fract_z
Sm1 Sm 0.000 0.111 0.091
Mn1 Mn 0.000 0.000 0.500
Mn2 Mn 0.250 0.215 0.750
Ge1 Ge 0.000 0.189 0.462
Ge2 Ge 0.250 0.051 0.750